Record 1
# Zn3Cr

Zn3Cr after structural relaxation (PBE-GGA, Alexandria).

Properties
Total magnetic moment   3.20 μB per formula unit
Fermi-level density of states   2.22 states/eV/f.u.
Energy of formation   0.7 eV per formula unit

The structure in extended XYZ format:
```
4
Lattice="-2.667 0.108 0.758 1.030 -1.243 3.802 -0.664 4.973 1.805" Properties=species:S:1:pos:R:3 pbc="T T T"
Zn -1.665 2.540 1.282
Zn -1.724 3.197 3.756
Zn -0.577 0.641 2.609
Cr 0.000 0.000 0.000
```

Record 2
# Zn3Cr

Zn3Cr after structural relaxation (PBE-GGA, Alexandria).

Properties
Total magnetic moment   0.00 μB per formula unit
Fermi-level density of states   1.49 states/eV/f.u.
Energy of formation   0.5 eV per formula unit

The structure in extended XYZ format:
```
16
Lattice="-0.057 3.711 1.754 -6.064 2.555 -5.605 -4.389 -1.902 3.881" Properties=species:S:1:pos:R:3 pbc="T T T"
Zn -5.110 2.607 -3.281
Zn -9.927 1.799 -1.731
Zn -1.705 0.211 1.900
Zn -0.584 2.565 1.760
Zn -3.579 3.827 -1.008
Zn -4.700 1.473 -0.868
Zn -8.806 4.153 -1.870
Zn -6.238 3.986 -1.432
Zn -5.811 2.891 0.898
Zn -6.932 0.537 1.038
Zn -4.273 0.378 1.462
Zn -5.401 1.757 3.311
Cr -8.315 3.086 0.405
Cr -3.089 2.759 1.266
Cr -2.196 1.278 -0.375
Cr -7.423 1.605 -1.236
```

Record 3
# Zr2ZnCr

Zr2ZnCr after structural relaxation (PBE-GGA, Alexandria).

Properties
Total magnetic moment   1.84 μB per formula unit
Fermi-level density of states   3.39 states/eV/f.u.
Energy of formation   0.6 eV per formula unit

The structure in extended XYZ format:
```
4
Lattice="-2.758 -3.704 -0.841 -0.180 -1.864 -4.304 1.908 -4.210 -0.816" Properties=species:S:1:pos:R:3 pbc="T T T"
Zr -0.257 -2.445 -1.490
Zr 0.000 0.000 0.000
Zn -0.772 -7.334 -4.471
Cr -0.515 -4.889 -2.981
```

Record 4
# Zr2ZnCr

Zr2ZnCr after structural relaxation (PBE-GGA, Alexandria).

Properties
Total magnetic moment   2.55 μB per formula unit
Fermi-level density of states   3.76 states/eV/f.u.
Energy of formation   1.0 eV per formula unit

The structure in extended XYZ format:
```
4
Lattice="5.001 0.113 -0.072 3.987 3.022 -0.072 0.751 0.262 5.228" Properties=species:S:1:pos:R:3 pbc="T T T"
Zr 8.888 3.100 -0.130
Zr 4.969 1.733 2.528
Zn 2.435 0.849 1.271
Cr 7.304 2.547 3.813
```